Record 1
Material: TlTeCl2O
Method: DFT, GGA-PBEsol
State: relaxed

Values from the calculation:
density	5.92	g cm⁻³
uncorrected formation energy	0.76	kcal/mol of atoms
symmetry	No. 123

Lattice parameters (Å, degrees): 3.912 5.480 5.480 90.00 90.00 90.00
Sites, in units of the cell vectors:
1 O 0.500 0.000 0.000
2 Cl 0.000 0.500 0.000
3 Cl 0.000 0.000 0.500
4 Tl 0.000 0.000 0.000
5 Te 0.500 0.500 0.500


Record 2
Material: Zn2TeCl2O3
Method: DFT, GGA-PBEsol
State: relaxed

Values from the calculation:
density	4.11	g cm⁻³
uncorrected formation energy	-27.45	kcal/mol of atoms
symmetry	No. 56

Lattice parameters (Å, degrees): 7.569 10.442 15.417 90.00 90.00 90.00
Sites, in units of the cell vectors:
1 Te 0.702 0.025 0.100
2 Te 0.702 0.475 0.400
3 Te 0.298 0.525 0.600
4 Te 0.202 0.025 0.400
5 Te 0.798 0.975 0.600
6 Te 0.202 0.475 0.100
7 Te 0.798 0.525 0.900
8 Te 0.298 0.975 0.900
9 Zn 0.340 0.998 0.611
10 Zn 0.660 0.498 0.111
11 Zn 0.604 0.739 0.527
12 Zn 0.840 0.998 0.889
13 Zn 0.104 0.761 0.527
14 Zn 0.104 0.739 0.973
15 Zn 0.840 0.502 0.611
16 Zn 0.160 0.002 0.111
17 Zn 0.604 0.761 0.973
18 Zn 0.896 0.239 0.473
19 Zn 0.340 0.502 0.889
20 Zn 0.396 0.239 0.027
21 Zn 0.396 0.261 0.473
22 Zn 0.896 0.261 0.027
23 Zn 0.660 0.002 0.389
24 Zn 0.160 0.498 0.389
25 Cl 0.336 0.424 0.285
26 Cl 0.164 0.576 0.785
27 Cl 0.836 0.076 0.285
28 Cl 0.578 0.707 0.122
29 Cl 0.836 0.424 0.215
30 Cl 0.578 0.793 0.378
31 Cl 0.922 0.293 0.622
32 Cl 0.078 0.793 0.122
33 Cl 0.078 0.707 0.378
34 Cl 0.422 0.207 0.622
35 Cl 0.422 0.293 0.878
36 Cl 0.664 0.576 0.715
37 Cl 0.922 0.207 0.878
38 Cl 0.164 0.924 0.715
39 Cl 0.336 0.076 0.215
40 Cl 0.664 0.924 0.785
41 O 0.359 0.691 0.560
42 O 0.190 0.557 0.988
43 O 0.937 0.416 0.416
44 O 0.437 0.084 0.416
45 O 0.141 0.191 0.440
46 O 0.310 0.057 0.012
47 O 0.141 0.309 0.060
48 O 0.810 0.443 0.012
49 O 0.641 0.309 0.440
50 O 0.310 0.443 0.488
51 O 0.690 0.943 0.988
52 O 0.690 0.557 0.512
53 O 0.859 0.809 0.560
54 O 0.563 0.584 0.916
55 O 0.063 0.584 0.584
56 O 0.190 0.943 0.512
57 O 0.859 0.691 0.940
58 O 0.437 0.416 0.084
59 O 0.359 0.809 0.940
60 O 0.641 0.191 0.060
61 O 0.937 0.084 0.084
62 O 0.563 0.916 0.584
63 O 0.810 0.057 0.488
64 O 0.063 0.916 0.916